Entry 1:
PmNd7Sm3 | PBE | relaxed

abc: 6.507 7.863 7.863
angles: 81.71 85.76 85.76
Positions (direct):
Sm (0.000, 0.829, 0.171)
Pm (0.500, 0.500, 0.500)
Nd (0.739, 0.574, 0.923)
Nd (0.261, 0.077, 0.426)
Sm (0.000, 0.171, 0.829)
Nd (0.788, 0.237, 0.237)
Sm (0.500, 0.000, 0.000)
Nd (0.261, 0.426, 0.077)
Nd (0.000, 0.500, 0.500)
Nd (0.739, 0.923, 0.574)
Nd (0.212, 0.763, 0.763)

Computed properties:
ΔE_f (eV/f.u.): 2.38
Density (kg/m3): 6731
Electronic total energy (Ry per atom): -0.33344

Entry 2:
Mn2SiMo | PBE | relaxed

abc: 2.651 2.651 7.311
angles: 90.00 90.00 98.02
Site moments in Bohr magnetons follow the coordinates.
Positions (direct):
Mn (0.000, 0.000, 0.969)  1.78
Mo (0.500, 0.500, 0.250)  -0.20
Si (0.500, 0.500, 0.750)  -0.07
Mn (0.000, 0.000, 0.531)  1.78

Computed properties:
Density (kg/m3): 7636
Electronic total energy (Ry per atom): -0.64190

Entry 3:
LiLu2Os | PBE | relaxed

abc: 4.799 4.799 4.799
angles: 60.00 60.00 60.00
Positions (direct):
Li (0.500, 0.500, 0.500)
Os (0.000, 0.000, 0.000)
Lu (0.750, 0.750, 0.750)
Lu (0.250, 0.250, 0.250)

Computed properties:
ΔE_f (eV/f.u.): -1.27
Density (kg/m3): 11626
Electronic total energy (Ry per atom): -0.43091

Entry 4:
Zr2AlSi | PBE | relaxed

abc: 5.630 5.217 10.563
angles: 90.00 90.00 90.00
Positions (direct):
Zr (0.563, 0.000, 0.096)
Si (0.549, 0.499, 0.657)
Zr (0.563, 0.500, 0.404)
Zr (0.063, 0.000, 0.904)
Si (0.049, 0.501, 0.343)
Al (0.838, 0.999, 0.657)
Al (0.338, 0.501, 0.157)
Zr (0.835, 0.000, 0.384)
Zr (0.335, 0.000, 0.616)
Si (0.049, 0.001, 0.157)
Al (0.338, 0.001, 0.343)
Zr (0.063, 0.500, 0.596)
Si (0.549, 0.999, 0.843)
Zr (0.835, 0.500, 0.116)
Al (0.838, 0.499, 0.843)
Zr (0.335, 0.500, 0.884)

Computed properties:
Density (kg/m3): 5086
Electronic total energy (Ry per atom): -0.51104